*P*
CuTcRu, relaxed, DFT PBE; crystal system = monoclinic; density of states at the Fermi level = 0.832 states/eV per atom
1.0
4.026 -2.306 0.000
4.026 2.306 0.000
-2.839 0.000 4.368
Cu Tc Ru
2 2 2
Cartesian
2.607 1.935 2.184 Cu
4.026 -1.935 0.000 Cu
2.541 0.372 4.349 Tc
3.961 -0.372 2.165 Tc
2.663 0.388 0.025 Ru
1.243 -0.388 2.209 Ru

*Q*
CuTcRu, relaxed, DFT PBE; crystal system = orthorhombic; density of states at the Fermi level = 1.131 states/eV per atom
1.0
0.000 2.234 6.712
1.408 0.000 6.712
1.408 2.234 0.000
Cu Tc Ru
1 1 1
Cartesian
0.000 0.000 0.000 Cu
1.408 2.234 8.980 Tc
1.408 2.234 4.448 Ru

Winner for stability: *P*